## Nd8SiSn2 (GGA-PBE)

Data for Nd8SiSn2 after structural relaxation.

Values from the calculation:
- uncorrected energy (eV per atom) = -5.082
- ΔE_f (raw) (eV per atom) = -0.3933

a = 10.207 Å, b = 10.207 Å, c = 6.923 Å
α = 105.21°, β = 105.21°, γ = 29.56°
Positions (direct):
Nd  0.015  0.015  0.278
Nd  0.219  0.219  0.818
Nd  0.348  0.348  0.503
Nd  0.410  0.410  0.038
Nd  0.590  0.590  0.962
Nd  0.652  0.652  0.497
Nd  0.781  0.781  0.182
Nd  0.985  0.985  0.722
Si  0.500  0.500  0.500
Sn  0.177  0.177  0.247
Sn  0.823  0.823  0.753

***

## Nd2SiSn (GGA-PBE)

Data for Nd2SiSn after structural relaxation.

Values from the calculation:
- uncorrected energy (eV per atom) = -5.475
- ΔE_f (raw) (eV per atom) = -0.7347

a = 6.160 Å, b = 4.157 Å, c = 8.916 Å
α = 90.00°, β = 107.36°, γ = 90.00°
Positions (direct):
Nd  0.193  0.250  0.421
Nd  0.277  0.750  0.061
Nd  0.723  0.250  0.939
Nd  0.807  0.750  0.579
Si  0.124  0.250  0.793
Si  0.876  0.750  0.207
Sn  0.373  0.750  0.711
Sn  0.627  0.250  0.289

***

## NdSiSn (GGA-PBE)

Data for NdSiSn after structural relaxation.

Values from the calculation:
- uncorrected energy (eV per atom) = -5.308
- ΔE_f (raw) (eV per atom) = -0.5764

a = 9.004 Å, b = 9.004 Å, c = 3.981 Å
α = 90.00°, β = 90.00°, γ = 152.00°
Positions (direct):
Nd  0.095  0.905  0.750
Nd  0.905  0.095  0.250
Si  0.459  0.541  0.750
Si  0.541  0.459  0.250
Sn  0.262  0.738  0.250
Sn  0.738  0.262  0.750

***

## Nd5Si2Sn2 (GGA-PBE)

Data for Nd5Si2Sn2 after structural relaxation.

Values from the calculation:
- uncorrected energy (eV per atom) = -5.440
- ΔE_f (raw) (eV per atom) = -0.6966

a = 8.849 Å, b = 8.849 Å, c = 8.091 Å
α = 90.00°, β = 90.00°, γ = 54.40°
Positions (direct):
Nd  0.000  0.000  0.000
Nd  0.051  0.689  0.678
Nd  0.189  0.551  0.178
Nd  0.311  0.949  0.678
Nd  0.449  0.811  0.178
Nd  0.500  0.500  0.500
Nd  0.551  0.189  0.822
Nd  0.689  0.051  0.322
Nd  0.811  0.449  0.822
Nd  0.949  0.311  0.322
Si  0.111  0.889  0.387
Si  0.389  0.611  0.887
Si  0.611  0.389  0.113
Si  0.889  0.111  0.613
Sn  0.213  0.213  0.000
Sn  0.287  0.287  0.500
Sn  0.713  0.713  0.500
Sn  0.787  0.787  0.000

***

## Nd5Si2Sn (GGA-PBE)

Data for Nd5Si2Sn after structural relaxation.

Values from the calculation:
- uncorrected energy (eV per atom) = -5.478
- ΔE_f (raw) (eV per atom) = -0.6416

a = 9.154 Å, b = 9.154 Å, c = 9.154 Å
α = 128.66°, β = 128.66°, γ = 75.55°
Positions (direct):
Nd  0.000  0.000  0.000
Nd  0.035  0.535  0.848
Nd  0.187  0.035  0.500
Nd  0.313  0.813  0.848
Nd  0.465  0.313  0.500
Nd  0.500  0.500  0.000
Nd  0.535  0.687  0.500
Nd  0.687  0.187  0.152
Nd  0.813  0.965  0.500
Nd  0.965  0.465  0.152
Si  0.119  0.381  0.500
Si  0.381  0.881  0.263
Si  0.619  0.119  0.737
Si  0.881  0.619  0.500
Sn  0.250  0.250  0.000
Sn  0.750  0.750  0.000

***

## Nd3Si2Sn2 (GGA-PBE)

Data for Nd3Si2Sn2 after structural relaxation.

Values from the calculation:
- uncorrected energy (eV per atom) = -5.426
- ΔE_f (raw) (eV per atom) = -0.6900

a = 6.141 Å, b = 6.141 Å, c = 8.079 Å
α = 113.80°, β = 113.80°, γ = 41.54°
Positions (direct):
Nd  0.000  0.000  0.000
Nd  0.185  0.185  0.654
Nd  0.815  0.815  0.346
Si  0.296  0.296  0.068
Si  0.704  0.704  0.932
Sn  0.463  0.463  0.667
Sn  0.537  0.537  0.333

***

## NdSiSn (GGA-PBE)

Data for NdSiSn after structural relaxation.

Values from the calculation:
- uncorrected energy (eV per atom) = -5.304
- ΔE_f (raw) (eV per atom) = -0.5725

a = 9.165 Å, b = 9.165 Å, c = 3.884 Å
α = 90.00°, β = 90.00°, γ = 153.14°
Positions (direct):
Nd  0.094  0.906  0.750
Nd  0.906  0.094  0.250
Si  0.460  0.540  0.750
Si  0.540  0.460  0.250
Sn  0.292  0.708  0.750
Sn  0.708  0.292  0.250

***

## NdSiSn2 (GGA-PBE)

Data for NdSiSn2 after structural relaxation.

Values from the calculation:
- uncorrected energy (eV per atom) = -4.873
- ΔE_f (raw) (eV per atom) = -0.3238

a = 4.512 Å, b = 4.512 Å, c = 4.839 Å
α = 90.00°, β = 90.00°, γ = 90.00°
Positions (direct):
Nd  0.000  0.000  0.000
Si  0.500  0.500  0.000
Sn  0.000  0.500  0.500
Sn  0.500  0.000  0.500